(1)
VASP calculation (GGA-PBE) on a relaxed structure of Er5CoPd2.

volume: 23.53 A^3/atom
uncorrected energy: -89.601 eV per cell
DOS(E_F): 0.8026 states/eV per atom
magnetization: 0.0 μB per formula unit

Lattice parameters (Å, degrees): 7.954 11.660 4.059 90.00 90.00 90.00
Atoms (fractional coordinates):
Er (0.000, 0.000, 0.000)
Er (0.156, 0.302, 0.000)
Er (0.176, 0.582, 0.500)
Er (0.324, 0.082, 0.500)
Er (0.344, 0.802, 0.000)
Er (0.500, 0.500, 0.000)
Er (0.656, 0.198, 0.000)
Er (0.676, 0.918, 0.500)
Er (0.824, 0.418, 0.500)
Er (0.844, 0.698, 0.000)
Co (0.000, 0.500, 0.000)
Co (0.500, 0.000, 0.000)
Pd (0.054, 0.827, 0.500)
Pd (0.446, 0.327, 0.500)
Pd (0.554, 0.673, 0.500)
Pd (0.946, 0.173, 0.500)



(2)
VASP calculation (GGA-PBE) on a relaxed structure of Er8CoPd2.

energy relative to the lowest polymorph listed for this composition: 93 meV/atom
volume: 26.25 A^3/atom
DOS(E_F): 1.2199 states/eV per atom
magnetization: 0.0 μB per formula unit

Lattice parameters (Å, degrees): 7.663 7.663 5.962 102.20 102.20 115.93
Atoms (fractional coordinates):
Er (0.000, 0.000, 0.000)
Er (0.007, 0.257, 0.586)
Er (0.159, 0.549, 0.189)
Er (0.257, 0.007, 0.586)
Er (0.441, 0.692, 0.815)
Er (0.549, 0.159, 0.189)
Er (0.692, 0.441, 0.815)
Er (0.701, 0.701, 0.370)
Co (0.352, 0.352, 0.999)
Pd (0.035, 0.650, 0.682)
Pd (0.650, 0.035, 0.682)



(3)
VASP calculation (GGA-PBE) on a relaxed structure of ErCoPd.

volume: 17.25 A^3/atom
uncorrected energy: -35.406 eV per cell
DOS(E_F): 1.0692 states/eV per atom
magnetization: 0.9 μB per formula unit

Lattice parameters (Å, degrees): 5.477 5.477 5.477 131.27 119.68 81.10
Atoms (fractional coordinates):
Er (0.370, 0.120, 0.250)
Er (0.630, 0.880, 0.750)
Co (0.045, 0.795, 0.250)
Co (0.955, 0.205, 0.750)
Pd (0.000, 0.500, 0.500)
Pd (0.500, 0.500, 0.000)



(4)
VASP calculation (GGA-PBE) on a relaxed structure of Er5Co2Pd.

volume: 22.35 A^3/atom
uncorrected energy: -90.975 eV per cell
DOS(E_F): 0.7592 states/eV per atom
magnetization: 0.0 μB per formula unit

Lattice parameters (Å, degrees): 8.615 8.615 8.615 130.86 130.86 72.04
Atoms (fractional coordinates):
Er (0.000, 0.000, 0.000)
Er (0.035, 0.535, 0.848)
Er (0.188, 0.035, 0.500)
Er (0.312, 0.812, 0.848)
Er (0.465, 0.312, 0.500)
Er (0.500, 0.500, 0.000)
Er (0.535, 0.688, 0.500)
Er (0.688, 0.188, 0.152)
Er (0.812, 0.965, 0.500)
Er (0.965, 0.465, 0.152)
Co (0.115, 0.385, 0.500)
Co (0.385, 0.885, 0.269)
Co (0.615, 0.115, 0.731)
Co (0.885, 0.615, 0.500)
Pd (0.250, 0.250, 0.000)
Pd (0.750, 0.750, 0.000)



(5)
VASP calculation (GGA-PBE) on a relaxed structure of Er8CoPd2.

energy relative to the lowest polymorph listed for this composition: 0 meV/atom
volume: 24.82 A^3/atom
DOS(E_F): 1.1472 states/eV per atom
magnetization: 0.0 μB per formula unit

Lattice parameters (Å, degrees): 8.876 8.876 6.634 105.26 105.26 32.90
Atoms (fractional coordinates):
Er (0.031, 0.031, 0.292)
Er (0.203, 0.203, 0.815)
Er (0.338, 0.338, 0.529)
Er (0.411, 0.411, 0.064)
Er (0.589, 0.589, 0.936)
Er (0.662, 0.662, 0.471)
Er (0.797, 0.797, 0.185)
Er (0.969, 0.969, 0.708)
Co (0.500, 0.500, 0.500)
Pd (0.188, 0.188, 0.221)
Pd (0.812, 0.812, 0.779)



(6)
VASP calculation (GGA-PBE) on a relaxed structure of Er5Co4Pd.

volume: 18.69 A^3/atom
uncorrected energy: -59.908 eV per cell
DOS(E_F): 0.2829 states/eV per atom
magnetization: 1.7 μB per formula unit

Lattice parameters (Å, degrees): 3.341 3.341 16.746 90.00 90.00 90.00
Atoms (fractional coordinates):
Er (0.000, 0.000, 0.000)
Er (0.000, 0.000, 0.196)
Er (0.000, 0.000, 0.392)
Er (0.000, 0.000, 0.608)
Er (0.000, 0.000, 0.804)
Co (0.500, 0.500, 0.098)
Co (0.500, 0.500, 0.297)
Co (0.500, 0.500, 0.703)
Co (0.500, 0.500, 0.902)
Pd (0.500, 0.500, 0.500)



(7)
VASP calculation (GGA-PBE) on a relaxed structure of Er6CoPd.

volume: 28.09 A^3/atom
uncorrected energy: -41.303 eV per cell
DOS(E_F): 1.0541 states/eV per atom
magnetization: 0.0 μB per formula unit

Lattice parameters (Å, degrees): 6.342 6.342 6.607 99.51 99.51 116.98
Atoms (fractional coordinates):
Er (0.055, 0.401, 0.239)
Er (0.252, 0.252, 0.769)
Er (0.401, 0.055, 0.239)
Er (0.599, 0.945, 0.761)
Er (0.748, 0.748, 0.231)
Er (0.945, 0.599, 0.761)
Co (0.000, 0.000, 0.000)
Pd (0.500, 0.500, 0.500)



(8)
VASP calculation (GGA-PBE) on a relaxed structure of Er8Co2Pd.

energy relative to the lowest polymorph listed for this composition: 52 meV/atom
volume: 25.15 A^3/atom
DOS(E_F): 1.0061 states/eV per atom
magnetization: 0.0 μB per formula unit

Lattice parameters (Å, degrees): 7.383 7.383 5.742 99.27 99.27 112.55
Atoms (fractional coordinates):
Er (0.000, 0.000, 0.000)
Er (0.029, 0.294, 0.595)
Er (0.143, 0.594, 0.188)
Er (0.294, 0.029, 0.595)
Er (0.441, 0.706, 0.785)
Er (0.594, 0.143, 0.188)
Er (0.706, 0.441, 0.785)
Er (0.740, 0.740, 0.379)
Co (0.059, 0.677, 0.689)
Co (0.677, 0.059, 0.689)
Pd (0.370, 0.370, 0.068)